NiBiO2F: relaxed, GGA-PBEsol.

Unit cell a=3.7868 b=3.8635 c=3.8635 alpha=90.00 beta=90.00 gamma=90.00
Closest atoms and distances in Å follow each position.
Sites, in units of the cell vectors:
1 Ni 0.0000 0.0000 0.0000  2 F 1.89, 4 O 1.93
2 F 0.5000 0.0000 0.0000  2 Ni 1.89
3 O 0.0000 0.5000 0.0000  2 Ni 1.93
4 O 0.0000 0.0000 0.5000  2 Ni 1.93
5 Bi 0.5000 0.5000 0.5000  8 O 2.70, 4 F 2.73

Summary:
Formation energy (no corrections) (eV per formula unit): -5.189
DFT total energy (eV/atom): -5.612
Crystal system: tetragonal
Space group: P4/mmm
Magnetic moment (Bohr magnetons per cell): 0.003